1.
Computed, not measured: Ba2SrCaP after structural relaxation at the GGA-PBE level of DFT.

Summary:
Relative energy among the computed polymorphs in meV/atom: 0
Formation energy from the elements in eV/atom: -0.425
SG: P4/mmm (123)
Density in Mg/m³: 3.0
Crystal system: tetragonal
Calculated total energy in hartree per atom: -0.1107

a b c (Å): 6.4635 6.4635 5.7247
angles (deg): 90.00 90.00 90.00
Closest atoms and distances in Å follow each position.
Positions (direct):
Ba: 0.0000 0.5000 0.0000  2 P 3.23
Ba: 0.5000 0.0000 0.0000  2 P 3.23
Sr: 0.0000 0.0000 0.5000  8 Ba 4.32, 4 Ca 4.57
Ca: 0.5000 0.5000 0.5000  2 P 2.86
P: 0.5000 0.5000 0.0000  2 Ca 2.86

---

2.
Computed, not measured: Ba2SrCaP after structural relaxation at the GGA-PBE level of DFT.

Summary:
Relative energy among the computed polymorphs in meV/atom: 3
Formation energy from the elements in eV/atom: -0.422
SG: P4/mmm (123)
Density in Mg/m³: 2.9
Crystal system: tetragonal
Calculated total energy in hartree per atom: -0.1106

a b c (Å): 6.3939 6.3939 6.0235
angles (deg): 90.00 90.00 90.00
Closest atoms and distances in Å follow each position.
Positions (direct):
Ba: 0.0000 0.5000 0.0000  2 P 3.20
Ba: 0.5000 0.0000 0.0000  2 P 3.20
Sr: 0.0000 0.0000 0.5000  2 P 3.01
Ca: 0.5000 0.5000 0.5000  8 Ba 4.39, 4 Sr 4.52
P: 0.0000 0.0000 0.0000  2 Sr 3.01, 4 Ba 3.20

---

3.
Computed, not measured: BaSr2CaP after structural relaxation at the GGA-PBE level of DFT.

Summary:
Relative energy among the computed polymorphs in meV/atom: 0
Formation energy from the elements in eV/atom: -0.435
SG: P4/mmm (123)
Density in Mg/m³: 2.7
Crystal system: tetragonal
Calculated total energy in hartree per atom: -0.1093

a b c (Å): 6.0284 6.0284 6.3946
angles (deg): 90.00 90.00 90.00
Closest atoms and distances in Å follow each position.
Positions (direct):
Ba: 0.0000 0.0000 0.0000  2 P 3.20
Sr: 0.0000 0.5000 0.5000  2 P 3.01
Sr: 0.5000 0.0000 0.5000  2 P 3.01
Ca: 0.5000 0.5000 0.0000  4 Ba 4.26, 8 Sr 4.39
P: 0.0000 0.0000 0.5000  4 Sr 3.01, 2 Ba 3.20

---

4.
Computed, not measured: BaSrCa2P after structural relaxation at the GGA-PBE level of DFT.

Summary:
Relative energy among the computed polymorphs in meV/atom: 0
Formation energy from the elements in eV/atom: -0.433
SG: P4/mmm (123)
Density in Mg/m³: 2.6
Crystal system: tetragonal
Calculated total energy in hartree per atom: -0.1116

a b c (Å): 5.7540 5.7540 6.4187
angles (deg): 90.00 90.00 90.00
Closest atoms and distances in Å follow each position.
Positions (direct):
Ba: 0.0000 0.0000 0.0000  2 P 3.21
Sr: 0.5000 0.5000 0.0000  4 Ba 4.07, 8 Ca 4.31
Ca: 0.0000 0.5000 0.5000  2 P 2.88
Ca: 0.5000 0.0000 0.5000  2 P 2.88
P: 0.0000 0.0000 0.5000  4 Ca 2.88, 2 Ba 3.21

---

5.
Computed, not measured: BaSrCa2P after structural relaxation at the GGA-PBE level of DFT.

Summary:
Relative energy among the computed polymorphs in meV/atom: 6
Formation energy from the elements in eV/atom: -0.427
SG: P4/mmm (123)
Density in Mg/m³: 2.7
Crystal system: tetragonal
Calculated total energy in hartree per atom: -0.1114

a b c (Å): 5.8069 5.8069 6.0928
angles (deg): 90.00 90.00 90.00
Closest atoms and distances in Å follow each position.
Positions (direct):
Ba: 0.0000 0.0000 0.0000  4 Sr 4.11, 8 Ca 4.21
Sr: 0.5000 0.5000 0.0000  2 P 3.05
Ca: 0.0000 0.5000 0.5000  2 P 2.90
Ca: 0.5000 0.0000 0.5000  2 P 2.90
P: 0.5000 0.5000 0.5000  4 Ca 2.90, 2 Sr 3.05

---

6.
Computed, not measured: BaSr2CaP after structural relaxation at the GGA-PBE level of DFT.

Summary:
Relative energy among the computed polymorphs in meV/atom: 5
Formation energy from the elements in eV/atom: -0.431
SG: P4/mmm (123)
Density in Mg/m³: 2.9
Crystal system: tetragonal
Calculated total energy in hartree per atom: -0.1092

a b c (Å): 6.1276 6.1276 5.8024
angles (deg): 90.00 90.00 90.00
Closest atoms and distances in Å follow each position.
Positions (direct):
Ba: 0.0000 0.0000 0.0000  8 Sr 4.22, 4 Ca 4.33
Sr: 0.0000 0.5000 0.5000  2 P 3.06
Sr: 0.5000 0.0000 0.5000  2 P 3.06
Ca: 0.5000 0.5000 0.0000  2 P 2.90
P: 0.5000 0.5000 0.5000  2 Ca 2.90, 4 Sr 3.06

---

7.
Computed, not measured: Ba2CaTiP after structural relaxation at the GGA-PBE level of DFT.

Summary:
Formation energy from the elements in eV/atom: -0.155
SG: P4/mmm (123)
Density in Mg/m³: 3.3
Crystal system: tetragonal
Calculated total energy in hartree per atom: -0.1465

a b c (Å): 6.4028 6.4028 4.8575
angles (deg): 90.00 90.00 90.00
Closest atoms and distances in Å follow each position.
Positions (direct):
Ba: 0.0000 0.5000 0.0000  2 P 3.20
Ba: 0.5000 0.0000 0.0000  2 P 3.20
Ca: 0.0000 0.0000 0.5000  8 Ba 4.02
Ti: 0.5000 0.5000 0.5000  2 P 2.43
P: 0.5000 0.5000 0.0000  2 Ti 2.43

---

8.
Computed, not measured: Ba2CaTlP after structural relaxation at the GGA-PBE level of DFT.

Summary:
Formation energy from the elements in eV/atom: -0.557
SG: P4/mmm (123)
Density in Mg/m³: 4.2
Crystal system: tetragonal
Calculated total energy in hartree per atom: -0.1206

a b c (Å): 6.3003 6.3003 5.4334
angles (deg): 90.00 90.00 90.00
Closest atoms and distances in Å follow each position.
Positions (direct):
Ba: 0.0000 0.5000 0.0000  2 P 3.15
Ba: 0.5000 0.0000 0.0000  2 P 3.15
Ca: 0.0000 0.0000 0.5000  2 P 2.72
Tl: 0.5000 0.5000 0.5000  8 Ba 4.16, 4 Ca 4.45
P: 0.0000 0.0000 0.0000  2 Ca 2.72

---

9.
Computed, not measured: BaCaP2W after structural relaxation at the GGA-PBE level of DFT.

Summary:
Formation energy from the elements in eV/atom: 0.015
SG: P4/mmm (123)
Density in Mg/m³: 5.6
Crystal system: tetragonal
Calculated total energy in hartree per atom: -0.2030

a b c (Å): 4.8761 4.8761 5.3053
angles (deg): 90.00 90.00 90.00
Closest atoms and distances in Å follow each position.
Positions (direct):
Ba: 0.0000 0.0000 0.0000  4 Ca 3.45, 8 P 3.60
Ca: 0.5000 0.5000 0.0000  2 W 2.65
P: 0.0000 0.5000 0.5000  2 W 2.44
P: 0.5000 0.0000 0.5000  2 W 2.44
W: 0.5000 0.5000 0.5000  4 P 2.44, 2 Ca 2.65

---

10.
Computed, not measured: BaCaPW2 after structural relaxation at the GGA-PBE level of DFT.

Summary:
Formation energy from the elements in eV/atom: 2.117
SG: P4/mmm (123)
Density in Mg/m³: 6.4
Crystal system: tetragonal
Calculated total energy in hartree per atom: -0.1812

a b c (Å): 5.3196 5.3196 5.2679
angles (deg): 90.00 90.00 90.00
Closest atoms and distances in Å follow each position.
Positions (direct):
Ba: 0.0000 0.0000 0.0000  8 W 3.74, 4 P 3.76
Ca: 0.5000 0.5000 0.5000  2 P 2.63, 4 W 2.66
P: 0.5000 0.5000 0.0000  2 Ca 2.63
W: 0.0000 0.5000 0.5000  2 Ca 2.66
W: 0.5000 0.0000 0.5000  2 Ca 2.66

---

11.
Computed, not measured: BaCaYP2 after structural relaxation at the GGA-PBE level of DFT.

Summary:
Formation energy from the elements in eV/atom: 0.871
SG: P4/mmm (123)
Density in Mg/m³: 3.0
Crystal system: tetragonal
Calculated total energy in hartree per atom: -0.1239

a b c (Å): 5.6665 5.6665 5.6543
angles (deg): 90.00 90.00 90.00
Closest atoms and distances in Å follow each position.
Positions (direct):
Ba: 0.0000 0.0000 0.0000  2 Ca 2.83, 4 P 2.83
Ca: 0.0000 0.0000 0.5000  2 Ba 2.83
Y: 0.5000 0.5000 0.5000  8 P 4.00, 4 Ca 4.01
P: 0.0000 0.5000 0.0000  2 Ba 2.83
P: 0.5000 0.0000 0.0000  2 Ba 2.83

---

12.
Computed, not measured: Ba2CaPaS6 after structural relaxation at the GGA-PBE level of DFT.

Summary:
SG: P2_1/c (14)
Density in Mg/m³: 4.2
Crystal system: monoclinic
Calculated total energy in hartree per atom: -0.2128

a b c (Å): 7.2627 7.6268 12.6111
angles (deg): 90.00 124.22 90.00
Closest atoms and distances in Å follow each position.
Positions (direct):
Ba: 0.2242 0.0667 0.2470  6 S 3.20-3.41
Ba: 0.2242 0.4333 0.7470  6 S 3.20-3.41
Ba: 0.7758 0.5667 0.2530  6 S 3.20-3.41
Ba: 0.7758 0.9333 0.7530  6 S 3.20-3.41
Ca: 0.0000 0.0000 0.5000  6 S 2.78-2.81
Ca: 0.0000 0.5000 0.0000  6 S 2.78-2.81
Pa: 0.5000 0.0000 0.0000  6 S 2.62-2.64
Pa: 0.5000 0.5000 0.5000  6 S 2.62-2.64
S: 0.1649 0.1965 0.9550  1 Pa 2.63, 1 Ca 2.81
S: 0.1649 0.3035 0.4550  1 Pa 2.63, 1 Ca 2.81
S: 0.2555 0.7160 0.9496  1 Pa 2.64, 1 Ca 2.81
S: 0.2555 0.7840 0.4496  1 Pa 2.64, 1 Ca 2.81
S: 0.3497 0.0244 0.7566  1 Pa 2.62, 1 Ca 2.78
S: 0.3497 0.4756 0.2566  1 Pa 2.62, 1 Ca 2.78
S: 0.6503 0.5244 0.7434  1 Pa 2.62, 1 Ca 2.78
S: 0.6503 0.9756 0.2434  1 Pa 2.62, 1 Ca 2.78
S: 0.7445 0.2160 0.5504  1 Pa 2.64, 1 Ca 2.81
S: 0.7445 0.2840 0.0504  1 Pa 2.64, 1 Ca 2.81
S: 0.8351 0.6965 0.5450  1 Pa 2.63, 1 Ca 2.81
S: 0.8351 0.8035 0.0450  1 Pa 2.63, 1 Ca 2.81

---

> Which value of density does entry 8 give?

4.2 Mg/m³